An optimized crystal structure of SrMg2Cd2Hg2, computed with PBE.

Calculated values
- Final energy: -1.27 eV/atom
- Space-group type: R-3m, No. 166
- Crystal system: trigonal
- E_form: -0.226 eV/atom
- Spin magnetization: 0.000 μB/f.u.

Cell: 4.923 4.923 9.311 Å, 74.67 74.67 60.00°
Element x y z (fractional)
1 Hg 0.410 0.410 0.770
2 Hg 0.590 0.590 0.230
3 Cd 0.755 0.755 0.736
4 Cd 0.245 0.245 0.264
5 Mg 0.134 0.134 0.599
6 Mg 0.866 0.866 0.401
7 Sr 0.000 0.000 0.000



An optimized crystal structure of Dy3BiP2Rh9, computed with PBE.

Calculated values
- Final energy: -6.93 eV/atom
- Space-group type: P-3m1, No. 164
- Crystal system: trigonal
- E_form: -0.621 eV/atom
- Spin magnetization: 0.000 μB/f.u.

Cell: 6.047 6.047 9.482 Å, 90.00 90.00 120.00°
Element x y z (fractional)
1 Dy 0.000 0.000 0.000
2 Dy 0.333 0.667 0.738
3 Dy 0.667 0.333 0.262
4 Rh 0.151 0.302 0.266
5 Rh 0.849 0.698 0.734
6 Rh 0.302 0.151 0.734
7 Rh 0.500 0.000 0.000
8 Rh 0.849 0.151 0.734
9 Rh 0.151 0.849 0.266
10 Rh 0.000 0.500 0.000
11 Rh 0.500 0.500 0.000
12 Rh 0.698 0.849 0.266
13 P 0.333 0.667 0.157
14 P 0.667 0.333 0.843
15 Bi 0.000 0.000 0.500



An optimized crystal structure of Li2PmY, computed with PBE.

Calculated values
- Final energy: -3.47 eV/atom
- Space-group type: R-3m, No. 166
- Crystal system: trigonal
- E_form: 0.286 eV/atom
- ΔE to the lowest computed polymorph: 147.9 meV per atom
- Spin magnetization: 0.000 μB/f.u.

Cell: 3.360 3.360 12.062 Å, 81.99 81.99 60.00°
Element x y z (fractional)
1 Y 0.000 0.000 0.000
2 Li 0.088 0.088 0.737
3 Li 0.912 0.912 0.263
4 Pm 0.500 0.500 0.500



An optimized crystal structure of ZrSb2Ir, computed with PBE.

Calculated values
- Final energy: -6.70 eV/atom
- Space-group type: P4mm, No. 99
- Crystal system: tetragonal
- E_form (uncorrected): -1.1 eV per formula unit
- ΔE to the lowest computed polymorph: 81.3 meV per atom
- Spin magnetization: 0.000 μB/f.u.

Cell: 3.775 3.775 5.921 Å, 90.00 90.00 90.00°
Element x y z (fractional)
1 Ir 0.500 0.500 0.797
2 Sb 0.000 0.000 0.950
3 Sb 0.500 0.500 0.286
4 Zr 0.000 0.000 0.467



> Look up the spin magnetization of the fourth one.

0.000 μB/f.u.